Below is a relaxed Rb2AgMoI6 crystal, with properties calculated at the GGA-PBE level.

Results
E ... -3.143 eV per atom
Fermi-level density of states ... 0.00 states/eV per cell
Total moment ... 0.300 μB/atom
Symmetry ... No. 225

abc: 8.2881 8.2881 8.2883
angles: 60.00 60.00 90.00
Each line ends with the local moment (μB).
Sites, in units of the cell vectors:
Mo 0.5000 0.5000 0.0000  2.46
I 0.7415 0.7415 0.0000  0.01
I 0.7415 0.7415 0.5171  0.01
Rb 0.7500 0.2500 0.5000  0.00
I 0.2585 0.2585 0.0000  0.01
Rb 0.2500 0.7500 0.5000  0.00
Ag 0.0000 0.0000 0.0000  -0.01
I 0.7415 0.2585 0.0000  0.01
I 0.2585 0.2585 0.4829  0.01
I 0.2585 0.7415 0.0000  0.01